# 1
# Er3Ni3Sb4

Crystalline Er3Ni3Sb4 at its relaxed geometry (PBE-GGA, Alexandria).

```
data_Er3Ni3Sb4
_chemical_formula_sum 'Er12 Ni12 Sb16'
_space_group_name_H-M_alt 'I -4 3 d'
_space_group_IT_number 220
_space_group_name_Hall 'I -4bd 2c 3'
_cell_length_a 9.4455
_cell_length_b 9.4455
_cell_length_c 9.4455
_cell_angle_alpha 90.00
_cell_angle_beta 90.00
_cell_angle_gamma 90.00
loop_
_atom_site_label
_atom_site_type_symbol
_atom_site_fract_x
_atom_site_fract_y
_atom_site_fract_z
Er1 Er 0.0000 0.2500 0.3750
Ni1 Ni 0.0000 0.2500 0.8750
Sb1 Sb 0.0714 0.0714 0.0714
```

Output
Raw total energy, eV/cell: -221.6
Formation energy without anion corrections, eV per formula unit: -7.9

# 2
# Er3Ni5Sb12

Crystalline Er3Ni5Sb12 at its relaxed geometry (PBE-GGA, Alexandria).

```
data_Er3Ni5Sb12
_chemical_formula_sum 'Er24 Ni40 Sb96'
_space_group_name_H-M_alt 'I a -3 d'
_space_group_IT_number 230
_space_group_name_Hall '-I 4bd 2c 3'
_cell_length_a 16.0504
_cell_length_b 16.0504
_cell_length_c 16.0504
_cell_angle_alpha 90.00
_cell_angle_beta 90.00
_cell_angle_gamma 90.00
loop_
_atom_site_label
_atom_site_type_symbol
_atom_site_fract_x
_atom_site_fract_y
_atom_site_fract_z
Er1 Er 0.0000 0.2500 0.1250
Ni1 Ni 0.0000 0.0000 0.0000
Ni2 Ni 0.0000 0.2500 0.3750
Sb1 Sb 0.0385 0.0642 0.6411
```

Output
Raw total energy, eV/cell: -759.6
Formation energy without anion corrections, eV per formula unit: -2.9

# 3
# Er6NiSb3

Crystalline Er6NiSb3 at its relaxed geometry (PBE-GGA, Alexandria).

```
data_Er6NiSb3
_chemical_formula_sum 'Er24 Ni4 Sb12'
_space_group_name_H-M_alt 'C m c 21'
_space_group_IT_number 36
_space_group_name_Hall 'C 2c -2'
_cell_length_a 10.8642
_cell_length_b 15.2677
_cell_length_c 6.8299
_cell_angle_alpha 90.00
_cell_angle_beta 90.00
_cell_angle_gamma 90.00
loop_
_atom_site_label
_atom_site_type_symbol
_atom_site_fract_x
_atom_site_fract_y
_atom_site_fract_z
Er1 Er 0.0000 0.0178 0.0000
Er2 Er 0.0000 0.2418 0.9341
Er3 Er 0.1623 0.2677 0.4256
Er4 Er 0.1975 0.4384 0.8074
Ni1 Ni 0.0000 0.1486 0.2666
Sb1 Sb 0.0000 0.4334 0.4884
Sb2 Sb 0.1773 0.1071 0.6991
```

Output
Raw total energy, eV/cell: -204.0
Formation energy without anion corrections, eV per formula unit: -5.5

# 4
# ErNiSb2

Crystalline ErNiSb2 at its relaxed geometry (PBE-GGA, Alexandria).

```
data_ErNiSb2
_chemical_formula_sum 'Er3 Ni3 Sb6'
_space_group_name_H-M_alt 'R -3 m'
_space_group_IT_number 166
_space_group_name_Hall '-R 3 2"'
_cell_length_a 3.5047
_cell_length_b 3.5047
_cell_length_c 28.2892
_cell_angle_alpha 90.00
_cell_angle_beta 90.00
_cell_angle_gamma 120.00
loop_
_atom_site_label
_atom_site_type_symbol
_atom_site_fract_x
_atom_site_fract_y
_atom_site_fract_z
Er1 Er 0.0000 0.0000 0.0000
Ni1 Ni 0.0000 0.0000 0.5000
Sb1 Sb 0.0000 0.0000 0.1088
```

Output
Raw total energy, eV/cell: -56.2
Formation energy without anion corrections, eV per formula unit: -0.1

# 5
# Er2NiSb

Crystalline Er2NiSb at its relaxed geometry (PBE-GGA, Alexandria).

```
data_Er2NiSb
_chemical_formula_sum 'Er4 Ni2 Sb2'
_space_group_name_H-M_alt 'P 1 21/m 1'
_space_group_IT_number 11
_space_group_name_Hall '-P 2yb'
_cell_length_a 5.9905
_cell_length_b 4.0799
_cell_length_c 8.1338
_cell_angle_alpha 90.00
_cell_angle_beta 110.42
_cell_angle_gamma 90.00
loop_
_atom_site_label
_atom_site_type_symbol
_atom_site_fract_x
_atom_site_fract_y
_atom_site_fract_z
Er1 Er 0.1742 0.2500 0.3995
Er2 Er 0.2513 0.7500 0.0507
Ni1 Ni 0.1317 0.2500 0.7911
Sb1 Sb 0.3762 0.7500 0.7090
```

Output
Raw total energy, eV/cell: -43.9
Formation energy without anion corrections, eV per formula unit: -2.9

# 6
# ErNi5Sb

Crystalline ErNi5Sb at its relaxed geometry (PBE-GGA, Alexandria).

```
data_ErNi5Sb
_chemical_formula_sum 'Er4 Ni20 Sb4'
_space_group_name_H-M_alt 'P n m a'
_space_group_IT_number 62
_space_group_name_Hall '-P 2ac 2n'
_cell_length_a 7.9815
_cell_length_b 4.9208
_cell_length_c 10.1328
_cell_angle_alpha 90.00
_cell_angle_beta 90.00
_cell_angle_gamma 90.00
loop_
_atom_site_label
_atom_site_type_symbol
_atom_site_fract_x
_atom_site_fract_y
_atom_site_fract_z
Er1 Er 0.2457 0.2500 0.0576
Ni1 Ni 0.0609 0.2500 0.5946
Ni2 Ni 0.0669 0.5010 0.8084
Ni3 Ni 0.0893 0.7500 0.0194
Ni4 Ni 0.1840 0.7500 0.2503
Sb1 Sb 0.1435 0.2500 0.3573
```

Output
Raw total energy, eV/cell: -160.8
Formation energy without anion corrections, eV per formula unit: -2.6

# 7
# Er5Ni2Sb

Crystalline Er5Ni2Sb at its relaxed geometry (PBE-GGA, Alexandria).

```
data_Er5Ni2Sb
_chemical_formula_sum 'Er20 Ni8 Sb4'
_space_group_name_H-M_alt 'I 4/m c m'
_space_group_IT_number 140
_space_group_name_Hall '-I 4 2c'
_cell_length_a 7.5623
_cell_length_b 7.5623
_cell_length_c 13.2744
_cell_angle_alpha 90.00
_cell_angle_beta 90.00
_cell_angle_gamma 90.00
loop_
_atom_site_label
_atom_site_type_symbol
_atom_site_fract_x
_atom_site_fract_y
_atom_site_fract_z
Er1 Er 0.0000 0.0000 0.0000
Er2 Er 0.1572 0.3428 0.1367
Ni1 Ni 0.1306 0.3694 0.5000
Sb1 Sb 0.0000 0.0000 0.2500
```

Output
Raw total energy, eV/cell: -171.7
Formation energy without anion corrections, eV per formula unit: -4.4

# 8
# ErNiSb

Crystalline ErNiSb at its relaxed geometry (PBE-GGA, Alexandria).

```
data_ErNiSb
_chemical_formula_sum 'Er1 Ni1 Sb1'
_space_group_name_H-M_alt 'P 3 m 1'
_space_group_IT_number 156
_space_group_name_Hall 'P 3 -2"'
_cell_length_a 4.2827
_cell_length_b 4.2827
_cell_length_c 3.9742
_cell_angle_alpha 90.00
_cell_angle_beta 90.00
_cell_angle_gamma 120.00
loop_
_atom_site_label
_atom_site_type_symbol
_atom_site_fract_x
_atom_site_fract_y
_atom_site_fract_z
Er1 Er 0.0000 0.0000 0.0000
Ni1 Ni 0.3333 0.6667 0.5072
Sb1 Sb 0.6667 0.3333 0.4999
```

Output
Raw total energy, eV/cell: -16.8
Formation energy without anion corrections, eV per formula unit: -2.3

# 9
# Er3Sc3Ni4

Crystalline Er3Sc3Ni4 at its relaxed geometry (PBE-GGA, Alexandria).

```
data_Er3Sc3Ni4
_chemical_formula_sum 'Er6 Sc6 Ni8'
_space_group_name_H-M_alt 'A m m 2'
_space_group_IT_number 38
_space_group_name_Hall 'A 2 -2'
_cell_length_a 3.7246
_cell_length_b 10.2457
_cell_length_c 10.2725
_cell_angle_alpha 90.00
_cell_angle_beta 90.00
_cell_angle_gamma 90.00
loop_
_atom_site_label
_atom_site_type_symbol
_atom_site_fract_x
_atom_site_fract_y
_atom_site_fract_z
Er1 Er 0.0000 0.0000 0.0000
Er2 Er 0.5000 0.2465 0.5939
Sc1 Sc 0.0000 0.0000 0.6782
Sc2 Sc 0.0000 0.1588 0.3440
Ni1 Ni 0.5000 0.0000 0.2231
Ni2 Ni 0.5000 0.0000 0.4725
Ni3 Ni 0.5000 0.1304 0.8367
```

Output
Raw total energy, eV/cell: -118.6
ΔE_f, eV/atom: -0.3470

# 10
# ErSc2Ni2

Crystalline ErSc2Ni2 at its relaxed geometry (PBE-GGA, Alexandria).

```
data_ErSc2Ni2
_chemical_formula_sum 'Er4 Sc8 Ni8'
_space_group_name_H-M_alt 'C m c 21'
_space_group_IT_number 36
_space_group_name_Hall 'C 2c -2'
_cell_length_a 3.5452
_cell_length_b 12.8996
_cell_length_c 8.5803
_cell_angle_alpha 90.00
_cell_angle_beta 90.00
_cell_angle_gamma 90.00
loop_
_atom_site_label
_atom_site_type_symbol
_atom_site_fract_x
_atom_site_fract_y
_atom_site_fract_z
Er1 Er 0.0000 0.0896 0.0000
Sc1 Sc 0.0000 0.1861 0.6348
Sc2 Sc 0.0000 0.3870 0.8489
Ni1 Ni 0.0000 0.2646 0.3449
Ni2 Ni 0.0000 0.4534 0.1776
```

Output
Raw total energy, eV/cell: -122.1
ΔE_f, eV/atom: -0.3467

# 11
# Er2Sc3Ni2

Crystalline Er2Sc3Ni2 at its relaxed geometry (PBE-GGA, Alexandria).

```
data_Er2Sc3Ni2
_chemical_formula_sum 'Er4 Sc6 Ni4'
_space_group_name_H-M_alt 'C 1 2/m 1'
_space_group_IT_number 12
_space_group_name_Hall '-C 2y'
_cell_length_a 10.5437
_cell_length_b 4.4631
_cell_length_c 7.1100
_cell_angle_alpha 90.00
_cell_angle_beta 114.82
_cell_angle_gamma 90.00
loop_
_atom_site_label
_atom_site_type_symbol
_atom_site_fract_x
_atom_site_fract_y
_atom_site_fract_z
Er1 Er 0.1402 0.0000 0.3040
Sc1 Sc 0.0000 0.5000 0.5000
Sc2 Sc 0.1410 0.5000 0.9597
Ni1 Ni 0.1329 0.0000 0.7049
```

Output
Raw total energy, eV/cell: -82.7
ΔE_f, eV/atom: -0.2357

# 12
# ErSc3Ni4

Crystalline ErSc3Ni4 at its relaxed geometry (PBE-GGA, Alexandria).

```
data_ErSc3Ni4
_chemical_formula_sum 'Er3 Sc9 Ni12'
_space_group_name_H-M_alt 'R -3 m'
_space_group_IT_number 166
_space_group_name_Hall '-R 3 2"'
_cell_length_a 4.5338
_cell_length_b 4.5338
_cell_length_c 22.4134
_cell_angle_alpha 90.00
_cell_angle_beta 90.00
_cell_angle_gamma 120.00
loop_
_atom_site_label
_atom_site_type_symbol
_atom_site_fract_x
_atom_site_fract_y
_atom_site_fract_z
Er1 Er 0.0000 0.0000 0.0000
Sc1 Sc 0.0000 0.0000 0.2476
Sc2 Sc 0.0000 0.0000 0.5000
Ni1 Ni 0.0000 0.0000 0.1273
Ni2 Ni 0.0000 0.0000 0.3802
```

Output
Raw total energy, eV/cell: -151.5
ΔE_f, eV/atom: -0.4756

Please write out number 1 again, unchanged.
# Er3Ni3Sb4

Crystalline Er3Ni3Sb4 at its relaxed geometry (PBE-GGA, Alexandria).

```
data_Er3Ni3Sb4
_chemical_formula_sum 'Er12 Ni12 Sb16'
_space_group_name_H-M_alt 'I -4 3 d'
_space_group_IT_number 220
_space_group_name_Hall 'I -4bd 2c 3'
_cell_length_a 9.4455
_cell_length_b 9.4455
_cell_length_c 9.4455
_cell_angle_alpha 90.00
_cell_angle_beta 90.00
_cell_angle_gamma 90.00
loop_
_atom_site_label
_atom_site_type_symbol
_atom_site_fract_x
_atom_site_fract_y
_atom_site_fract_z
Er1 Er 0.0000 0.2500 0.3750
Ni1 Ni 0.0000 0.2500 0.8750
Sb1 Sb 0.0714 0.0714 0.0714
```

Output
Raw total energy, eV/cell: -221.6
Formation energy without anion corrections, eV per formula unit: -7.9

Question: Among the records above, which one has the lowest raw total energy?
Answer: Er3Ni5Sb12

Question: The highest raw total energy belongs to which entry?
Answer: ErNiSb